No. 1
# CsGdIn GGA-PBE optimized geometry
# - total DFT energy (no corrections) (eV for the cell shown) = -20.3
# - total magnetic moment (μB per atom) = 0.002
data_CsGdIn
_chemical_formula_sum 'Cs4 Gd4 In4'
_symmetry_space_group_name_H-M 'F -4 3 m'
_symmetry_Int_Tables_number 216
_symmetry_space_group_name_Hall 'F -4 2 3'
_cell_length_a 8.8859
_cell_length_b 8.8859
_cell_length_c 8.8859
_cell_angle_alpha 90.00
_cell_angle_beta 90.00
_cell_angle_gamma 90.00
loop_
_atom_site_label
_atom_site_type_symbol
_atom_site_fract_x
_atom_site_fract_y
_atom_site_fract_z
Cs1 Cs 0.0000 0.0000 0.0000
Gd1 Gd 0.2500 0.2500 0.7500
In1 In 0.2500 0.2500 0.2500


No. 2
# LaScCd2Hg2Au2 GGA-PBE optimized geometry
# - total DFT energy (no corrections) (eV for the cell shown) = -24.0
# - total magnetic moment (μB per atom) = 0.000
data_LaScCd2Hg2Au2
_chemical_formula_sum 'La1 Sc1 Cd2 Hg2 Au2'
_symmetry_space_group_name_H-M 'P -4 m 2'
_symmetry_Int_Tables_number 115
_symmetry_space_group_name_Hall 'P -4 -2'
_cell_length_a 5.0153
_cell_length_b 5.0153
_cell_length_c 7.1172
_cell_angle_alpha 90.00
_cell_angle_beta 90.00
_cell_angle_gamma 90.00
loop_
_atom_site_label
_atom_site_type_symbol
_atom_site_fract_x
_atom_site_fract_y
_atom_site_fract_z
La1 La 0.0000 0.0000 0.0000
Sc1 Sc 0.5000 0.5000 0.5000
Cd1 Cd 0.0000 0.0000 0.5000
Cd2 Cd 0.5000 0.5000 0.0000
Hg1 Hg 0.0000 0.5000 0.2714
Au1 Au 0.0000 0.5000 0.7249


No. 3
# LaErIn2Pt4 GGA-PBE optimized geometry
# - total DFT energy (no corrections) (eV for the cell shown) = -46.8
# - total magnetic moment (μB per atom) = 0.000
data_LaErIn2Pt4
_chemical_formula_sum 'La1 Er1 In2 Pt4'
_symmetry_space_group_name_H-M 'P -6 m 2'
_symmetry_Int_Tables_number 187
_symmetry_space_group_name_Hall 'P -6 2'
_cell_length_a 4.6143
_cell_length_b 4.6143
_cell_length_c 9.2601
_cell_angle_alpha 90.00
_cell_angle_beta 90.00
_cell_angle_gamma 120.00
loop_
_atom_site_label
_atom_site_type_symbol
_atom_site_fract_x
_atom_site_fract_y
_atom_site_fract_z
La1 La 0.0000 0.0000 0.0000
Er1 Er 0.6667 0.3333 0.5000
In1 In 0.3333 0.6667 0.2578
Pt1 Pt 0.0000 0.0000 0.3474
Pt2 Pt 0.6667 0.3333 0.1712


No. 4
# TbTm2Ga3Ni3 GGA-PBE optimized geometry
# - total DFT energy (no corrections) (eV for the cell shown) = -90.4
# - total magnetic moment (μB per atom) = 0.000
data_TbTm2Ga3Ni3
_chemical_formula_sum 'Tb2 Tm4 Ga6 Ni6'
_symmetry_space_group_name_H-M 'A m m 2'
_symmetry_Int_Tables_number 38
_symmetry_space_group_name_Hall 'A 2 -2'
_cell_length_a 3.7365
_cell_length_b 12.1412
_cell_length_c 6.9943
_cell_angle_alpha 90.00
_cell_angle_beta 90.00
_cell_angle_gamma 90.00
loop_
_atom_site_label
_atom_site_type_symbol
_atom_site_fract_x
_atom_site_fract_y
_atom_site_fract_z
Tb1 Tb 0.0000 0.0000 0.0000
Tm1 Tm 0.0000 0.2053 0.3819
Ga1 Ga 0.5000 0.0000 0.3426
Ga2 Ga 0.5000 0.1251 0.7098
Ni1 Ni 0.0000 0.0000 0.5859
Ni2 Ni 0.5000 0.1690 0.0879


No. 5
# AlBiIr GGA-PBE optimized geometry
# - total DFT energy (no corrections) (eV for the cell shown) = -63.1
# - total magnetic moment (μB per atom) = 0.000
data_AlBiIr
_chemical_formula_sum 'Al4 Bi4 Ir4'
_symmetry_space_group_name_H-M 'F -4 3 m'
_symmetry_Int_Tables_number 216
_symmetry_space_group_name_Hall 'F -4 2 3'
_cell_length_a 6.3243
_cell_length_b 6.3243
_cell_length_c 6.3243
_cell_angle_alpha 90.00
_cell_angle_beta 90.00
_cell_angle_gamma 90.00
loop_
_atom_site_label
_atom_site_type_symbol
_atom_site_fract_x
_atom_site_fract_y
_atom_site_fract_z
Al1 Al 0.0000 0.0000 0.0000
Bi1 Bi 0.2500 0.2500 0.7500
Ir1 Ir 0.2500 0.2500 0.2500


No. 6
# Gd2NiPb GGA-PBE optimized geometry
# - total DFT energy (no corrections) (eV for the cell shown) = -40.1
# - total magnetic moment (μB per atom) = 0.000
data_Gd2NiPb
_chemical_formula_sum 'Gd4 Ni2 Pb2'
_symmetry_space_group_name_H-M 'A m m 2'
_symmetry_Int_Tables_number 38
_symmetry_space_group_name_Hall 'A 2 -2'
_cell_length_a 4.2995
_cell_length_b 4.1650
_cell_length_c 11.3725
_cell_angle_alpha 90.00
_cell_angle_beta 90.00
_cell_angle_gamma 90.00
loop_
_atom_site_label
_atom_site_type_symbol
_atom_site_fract_x
_atom_site_fract_y
_atom_site_fract_z
Gd1 Gd 0.0000 0.0000 0.0000
Gd2 Gd 0.5000 0.0000 0.2961
Ni1 Ni 0.0000 0.0000 0.7475
Pb1 Pb 0.5000 0.0000 0.5841


No. 7
# BaZn2Ag2 GGA-PBE optimized geometry
# - total DFT energy (no corrections) (eV for the cell shown) = -22.2
data_BaZn2Ag2
_chemical_formula_sum 'Ba2 Zn4 Ag4'
_symmetry_space_group_name_H-M 'I 4/m m m'
_symmetry_Int_Tables_number 139
_symmetry_space_group_name_Hall '-I 4 2'
_cell_length_a 4.5876
_cell_length_b 4.5876
_cell_length_c 11.2509
_cell_angle_alpha 90.00
_cell_angle_beta 90.00
_cell_angle_gamma 90.00
loop_
_atom_site_label
_atom_site_type_symbol
_atom_site_fract_x
_atom_site_fract_y
_atom_site_fract_z
Ba1 Ba 0.0000 0.0000 0.0000
Zn1 Zn 0.0000 0.0000 0.3794
Ag1 Ag 0.0000 0.5000 0.2500


No. 8
# Zr3Be GGA-PBE optimized geometry
# - total DFT energy (no corrections) (eV for the cell shown) = -58.5
# - total magnetic moment (μB per atom) = 0.005
data_Zr3Be
_chemical_formula_sum 'Zr6 Be2'
_symmetry_space_group_name_H-M 'P 1 21/m 1'
_symmetry_Int_Tables_number 11
_symmetry_space_group_name_Hall '-P 2yb'
_cell_length_a 6.2783
_cell_length_b 4.0449
_cell_length_c 6.2793
_cell_angle_alpha 90.00
_cell_angle_beta 98.44
_cell_angle_gamma 90.00
loop_
_atom_site_label
_atom_site_type_symbol
_atom_site_fract_x
_atom_site_fract_y
_atom_site_fract_z
Zr1 Zr 0.0756 0.2500 0.3190
Zr2 Zr 0.3209 0.7500 0.0754
Zr3 Zr 0.3831 0.7500 0.6163
Be1 Be 0.1938 0.2500 0.8052


No. 9
# DyCuSnSeS2 GGA-PBE optimized geometry
# - total DFT energy (no corrections) (eV for the cell shown) = -120.4
# - total magnetic moment (μB per atom) = 0.000
data_DyCuSnSeS2
_chemical_formula_sum 'Dy4 Cu4 Sn4 Se4 S8'
_symmetry_space_group_name_H-M 'C m c m'
_symmetry_Int_Tables_number 63
_symmetry_space_group_name_Hall '-C 2c 2'
_cell_length_a 3.8921
_cell_length_b 13.2275
_cell_length_c 10.4056
_cell_angle_alpha 90.00
_cell_angle_beta 90.00
_cell_angle_gamma 90.00
loop_
_atom_site_label
_atom_site_type_symbol
_atom_site_fract_x
_atom_site_fract_y
_atom_site_fract_z
Dy1 Dy 0.0000 0.0000 0.0000
Cu1 Cu 0.0000 0.4682 0.2500
Sn1 Sn 0.0000 0.2274 0.7500
Se1 Se 0.0000 0.0886 0.2500
S1 S 0.0000 0.3641 0.0705


No. 10
# LaMgZrCo GGA-PBE optimized geometry
# - total DFT energy (no corrections) (eV for the cell shown) = -83.6
# - total magnetic moment (μB per atom) = 0.000
data_LaMgZrCo
_chemical_formula_sum 'La4 Mg4 Zr4 Co4'
_symmetry_space_group_name_H-M 'F -4 3 m'
_symmetry_Int_Tables_number 216
_symmetry_space_group_name_Hall 'F -4 2 3'
_cell_length_a 6.8830
_cell_length_b 6.8830
_cell_length_c 6.8830
_cell_angle_alpha 90.00
_cell_angle_beta 90.00
_cell_angle_gamma 90.00
loop_
_atom_site_label
_atom_site_type_symbol
_atom_site_fract_x
_atom_site_fract_y
_atom_site_fract_z
La1 La 0.0000 0.0000 0.0000
Mg1 Mg 0.0000 0.0000 0.5000
Zr1 Zr 0.2500 0.2500 0.2500
Co1 Co 0.2500 0.2500 0.7500


No. 11
# SrHgTeO GGA-PBE optimized geometry
# - total DFT energy (no corrections) (eV for the cell shown) = -27.2
data_SrHgTeO
_chemical_formula_sum 'Sr2 Hg2 Te2 O2'
_symmetry_space_group_name_H-M 'P 4/n m m'
_symmetry_Int_Tables_number 129
_cell_length_a 5.5180
_cell_length_b 5.5180
_cell_length_c 7.8662
_cell_angle_alpha 90.00
_cell_angle_beta 90.00
_cell_angle_gamma 90.00
loop_
_symmetry_equiv_pos_as_xyz
'x,y,z'
'-x,-y,-z'
'-y+1/2,x,z'
'y+1/2,-x,-z'
'-x+1/2,-y+1/2,z'
'x+1/2,y+1/2,-z'
'y,-x+1/2,z'
'-y,x+1/2,-z'
'x+1/2,-y,-z'
'-x+1/2,y,z'
'-y,-x,-z'
'y,x,z'
'-x,y+1/2,-z'
'x,-y+1/2,z'
'y+1/2,x+1/2,-z'
'-y+1/2,-x+1/2,z'
loop_
_atom_site_label
_atom_site_type_symbol
_atom_site_fract_x
_atom_site_fract_y
_atom_site_fract_z
Sr1 Sr 0.2500 0.2500 0.1921
Hg1 Hg 0.2500 0.2500 0.6515
Te1 Te 0.2500 0.7500 0.5000
O1 O 0.2500 0.2500 0.9192


No. 12
# TaW GGA-PBE optimized geometry
# - total DFT energy (no corrections) (eV for the cell shown) = -296.6
# - total magnetic moment (μB per atom) = 0.000
data_TaW
_chemical_formula_sum 'Ta12 W12'
_symmetry_space_group_name_H-M 'P 63/m m c'
_symmetry_Int_Tables_number 194
_symmetry_space_group_name_Hall '-P 6c 2c'
_cell_length_a 5.3078
_cell_length_b 5.3078
_cell_length_c 17.5433
_cell_angle_alpha 90.00
_cell_angle_beta 90.00
_cell_angle_gamma 120.00
loop_
_atom_site_label
_atom_site_type_symbol
_atom_site_fract_x
_atom_site_fract_y
_atom_site_fract_z
Ta1 Ta 0.0000 0.0000 0.0945
Ta2 Ta 0.3333 0.6667 0.1240
Ta3 Ta 0.3333 0.6667 0.6570
W1 W 0.0000 0.5000 0.0000
W2 W 0.1629 0.3259 0.2500


No. 13
# NdInGaTe3 GGA-PBE optimized geometry
# - total DFT energy (no corrections) (eV for the cell shown) = -95.7
# - total magnetic moment (μB per atom) = 0.002
data_NdInGaTe3
_chemical_formula_sum 'Nd4 In4 Ga4 Te12'
_symmetry_space_group_name_H-M 'C m c m'
_symmetry_Int_Tables_number 63
_symmetry_space_group_name_Hall '-C 2c 2'
_cell_length_a 4.8321
_cell_length_b 14.3891
_cell_length_c 11.8299
_cell_angle_alpha 90.00
_cell_angle_beta 90.00
_cell_angle_gamma 90.00
loop_
_atom_site_label
_atom_site_type_symbol
_atom_site_fract_x
_atom_site_fract_y
_atom_site_fract_z
Nd1 Nd 0.0000 0.0000 0.0000
In1 In 0.0000 0.2440 0.2500
Ga1 Ga 0.0000 0.4821 0.7500
Te1 Te 0.0000 0.0815 0.7500
Te2 Te 0.0000 0.3606 0.5680


No. 14
# NaPrSeO GGA-PBE optimized geometry
# - total DFT energy (no corrections) (eV for the cell shown) = -93.1
# - total magnetic moment (μB per atom) = 0.000
data_NaPrSeO
_chemical_formula_sum 'Na4 Pr4 Se4 O4'
_symmetry_space_group_name_H-M 'P 1 21 1'
_symmetry_Int_Tables_number 4
_symmetry_space_group_name_Hall 'P 2yb'
_cell_length_a 5.8326
_cell_length_b 5.8449
_cell_length_c 11.0541
_cell_angle_alpha 90.00
_cell_angle_beta 103.59
_cell_angle_gamma 90.00
loop_
_atom_site_label
_atom_site_type_symbol
_atom_site_fract_x
_atom_site_fract_y
_atom_site_fract_z
Na1 Na 0.0397 0.0000 0.0940
Na2 Na 0.4503 0.9943 0.9069
Pr1 Pr 0.0506 0.2674 0.6088
Pr2 Pr 0.4498 0.2677 0.3911
Se1 Se 0.0829 0.4955 0.1788
Se2 Se 0.4212 0.4927 0.8212
O1 O 0.2496 0.0189 0.4996
O2 O 0.2499 0.5197 0.4999


No. 15
# HfOsF3 GGA-PBE optimized geometry
# - total DFT energy (no corrections) (eV for the cell shown) = -143.6
# - total magnetic moment (μB per atom) = 0.002
data_HfOsF3
_chemical_formula_sum 'Hf4 Os4 F12'
_symmetry_space_group_name_H-M 'C m c m'
_symmetry_Int_Tables_number 63
_symmetry_space_group_name_Hall '-C 2c 2'
_cell_length_a 3.6871
_cell_length_b 13.3106
_cell_length_c 4.5564
_cell_angle_alpha 90.00
_cell_angle_beta 90.00
_cell_angle_gamma 90.00
loop_
_atom_site_label
_atom_site_type_symbol
_atom_site_fract_x
_atom_site_fract_y
_atom_site_fract_z
Hf1 Hf 0.0000 0.1484 0.2500
Os1 Os 0.0000 0.4739 0.2500
F1 F 0.0000 0.1325 0.7500
F2 F 0.0000 0.3008 0.5079


No. 16
# NdSmIBr2N GGA-PBE optimized geometry
# - total DFT energy (no corrections) (eV for the cell shown) = -131.4
# - total magnetic moment (μB per atom) = 0.001
data_NdSmIBr2N
_chemical_formula_sum 'Nd4 Sm4 I4 Br8 N4'
_symmetry_space_group_name_H-M 'C 1 2/m 1'
_symmetry_Int_Tables_number 12
_symmetry_space_group_name_Hall '-C 2y'
_cell_length_a 18.0111
_cell_length_b 4.0651
_cell_length_c 11.7906
_cell_angle_alpha 90.00
_cell_angle_beta 121.83
_cell_angle_gamma 90.00
loop_
_atom_site_label
_atom_site_type_symbol
_atom_site_fract_x
_atom_site_fract_y
_atom_site_fract_z
Nd1 Nd 0.0796 0.0000 0.4570
Sm1 Sm 0.1316 0.5000 0.7768
I1 I 0.1586 0.0000 0.0155
Br1 Br 0.0443 0.5000 0.2499
Br2 Br 0.2186 0.5000 0.6150
N1 N 0.0730 0.0000 0.6507


No. 17
# Li4MgAl2Pd GGA-PBE optimized geometry
# - total DFT energy (no corrections) (eV for the cell shown) = -24.4
data_Li4MgAl2Pd
_chemical_formula_sum 'Li4 Mg1 Al2 Pd1'
_symmetry_space_group_name_H-M 'P -4 m 2'
_symmetry_Int_Tables_number 115
_symmetry_space_group_name_Hall 'P -4 -2'
_cell_length_a 4.4102
_cell_length_b 4.4102
_cell_length_c 6.4386
_cell_angle_alpha 90.00
_cell_angle_beta 90.00
_cell_angle_gamma 90.00
loop_
_atom_site_label
_atom_site_type_symbol
_atom_site_fract_x
_atom_site_fract_y
_atom_site_fract_z
Li1 Li 0.0000 0.0000 0.0000
Li2 Li 0.0000 0.5000 0.7297
Li3 Li 0.5000 0.5000 0.5000
Mg1 Mg 0.5000 0.5000 0.0000
Al1 Al 0.0000 0.5000 0.2843
Pd1 Pd 0.0000 0.0000 0.5000


No. 18
# ErAlPO GGA-PBE optimized geometry
# - total DFT energy (no corrections) (eV for the cell shown) = -51.2
# - total magnetic moment (μB per atom) = 0.000
data_ErAlPO
_chemical_formula_sum 'Er2 Al2 P2 O2'
_symmetry_space_group_name_H-M 'P 4/n m m'
_symmetry_Int_Tables_number 129
_cell_length_a 3.9414
_cell_length_b 3.9414
_cell_length_c 8.4065
_cell_angle_alpha 90.00
_cell_angle_beta 90.00
_cell_angle_gamma 90.00
loop_
_symmetry_equiv_pos_as_xyz
'x,y,z'
'-x,-y,-z'
'-y+1/2,x,z'
'y+1/2,-x,-z'
'-x+1/2,-y+1/2,z'
'x+1/2,y+1/2,-z'
'y,-x+1/2,z'
'-y,x+1/2,-z'
'x+1/2,-y,-z'
'-x+1/2,y,z'
'-y,-x,-z'
'y,x,z'
'-x,y+1/2,-z'
'x,-y+1/2,z'
'y+1/2,x+1/2,-z'
'-y+1/2,-x+1/2,z'
loop_
_atom_site_label
_atom_site_type_symbol
_atom_site_fract_x
_atom_site_fract_y
_atom_site_fract_z
Er1 Er 0.2500 0.2500 0.1233
Al1 Al 0.2500 0.7500 0.5000
P1 P 0.2500 0.2500 0.6704
O1 O 0.2500 0.7500 0.0000


No. 19
# Er3PbCl GGA-PBE optimized geometry
# - total DFT energy (no corrections) (eV for the cell shown) = -21.4
# - total magnetic moment (μB per atom) = 0.026
data_Er3PbCl
_chemical_formula_sum 'Er3 Pb1 Cl1'
_symmetry_space_group_name_H-M 'P m -3 m'
_symmetry_Int_Tables_number 221
_symmetry_space_group_name_Hall '-P 4 2 3'
_cell_length_a 5.1058
_cell_length_b 5.1058
_cell_length_c 5.1058
_cell_angle_alpha 90.00
_cell_angle_beta 90.00
_cell_angle_gamma 90.00
loop_
_atom_site_label
_atom_site_type_symbol
_atom_site_fract_x
_atom_site_fract_y
_atom_site_fract_z
Er1 Er 0.0000 0.0000 0.5000
Pb1 Pb 0.5000 0.5000 0.5000
Cl1 Cl 0.0000 0.0000 0.0000


No. 20
# GdErGa4 GGA-PBE optimized geometry
# - total DFT energy (no corrections) (eV for the cell shown) = -99.0
# - total magnetic moment (μB per atom) = 0.000
data_GdErGa4
_chemical_formula_sum 'Gd4 Er4 Ga16'
_symmetry_space_group_name_H-M 'C m c m'
_symmetry_Int_Tables_number 63
_symmetry_space_group_name_Hall '-C 2c 2'
_cell_length_a 4.1092
_cell_length_b 18.7001
_cell_length_c 6.4664
_cell_angle_alpha 90.00
_cell_angle_beta 90.00
_cell_angle_gamma 90.00
loop_
_atom_site_label
_atom_site_type_symbol
_atom_site_fract_x
_atom_site_fract_y
_atom_site_fract_z
Gd1 Gd 0.0000 0.0893 0.2500
Er1 Er 0.0000 0.2347 0.7500
Ga1 Ga 0.0000 0.0717 0.7500
Ga2 Ga 0.0000 0.3535 0.0442
Ga3 Ga 0.0000 0.5000 0.0000